Sr2LiZnO (GGA-PBE, relaxed); space-group type = P4/mmm, No. 123; total energy = -16.8 eV/f.u.; N(E_F) = 4.0 states/eV/cell; V = 114.0 Å³ per cell
1.0
5.287 0.000 0.000
0.000 5.287 0.000
0.000 0.000 4.078
Sr Li Zn O
2 1 1 1
Direct
0.000 0.500 0.000
0.500 0.000 0.000
0.000 0.000 0.500
0.500 0.500 0.500
0.000 0.000 0.000